This record from Alexandria describes crystalline ReSnAu3 at its relaxed geometry. The functional is PBE.

Cell lengths 5.1524, 5.1524, 5.1524 Å; angles 90.00, 90.00, 90.00 degrees
Closest atoms and distances in Å follow each position.
Space group Pm-3m (No. 221)
Asymmetric unit:
Re 0.0000 0.0000 0.0000  12 Au 3.64
Sn 0.5000 0.5000 0.5000  6 Au 2.58
Au 0.0000 0.5000 0.5000  2 Sn 2.58

Formation energy: 1524 meV/atom
Magnetization: 5.2 μB per formula unit
Offset from the most stable computed form: 478 meV/atom